ScPaCuO5 | PBE | optimized geometry

Cell: 5.6978 5.6978 7.6156 Å, 104.40 104.40 109.52°
Site moments in Bohr magnetons follow the coordinates.
Atoms (fractional coordinates):
Sc 0.0000 0.0000 0.5000  0.01
Sc 0.0000 0.0000 0.0000  0.01
Pa 0.3192 0.6808 0.2500  0.00
Pa 0.6808 0.3192 0.7500  0.00
Cu 0.6646 0.3354 0.2500  0.55
Cu 0.3354 0.6646 0.7500  0.55
O 0.0941 0.9059 0.2500  0.02
O 0.9059 0.0941 0.7500  0.02
O 0.8930 0.3207 0.0974  0.05
O 0.1070 0.6793 0.9026  0.05
O 0.6793 0.1070 0.4026  0.05
O 0.3207 0.8930 0.5974  0.05
O 0.6652 0.6455 0.4229  0.13
O 0.3348 0.3545 0.5771  0.13
O 0.3545 0.3348 0.0771  0.13
O 0.6455 0.6652 0.9229  0.13

Computed properties:
* raw formation energy: -2003 kJ/mol of formula units
* total moment: 2.05 Bohr magnetons per cell
* V: 210.26 Å³/cell
* density of states at the Fermi level: 1.89 states/eV per cell

Pm3Fe2Co7 | PBE | optimized geometry

Cell: 5.1482 5.1482 8.5161 Å, 72.41 72.41 60.00°
Site moments in Bohr magnetons follow the coordinates.
Atoms (fractional coordinates):
Pm 0.0000 0.0000 0.0000  -0.23
Pm 0.8590 0.8590 0.4231  -0.26
Pm 0.1410 0.1410 0.5769  -0.26
Fe 0.6668 0.6668 0.9997  2.56
Fe 0.3332 0.3332 0.0003  2.56
Co 0.5000 0.5000 0.5000  1.32
Co 0.9175 0.4203 0.2420  1.23
Co 0.4203 0.9175 0.2420  1.23
Co 0.4203 0.4203 0.2420  1.23
Co 0.0825 0.5797 0.7580  1.23
Co 0.5797 0.5797 0.7580  1.23
Co 0.5797 0.0825 0.7580  1.23

Computed properties:
* total moment: 12.44 Bohr magnetons per cell
* E_tot: -6.8258 eV/atom
* V: 183.18 Å³/cell
* density of states at the Fermi level: 14.08 states/eV per cell